The following is a DFT calculation (SCAN) of CaFeMo2 at its PBEsol-relaxed geometry.

```
data_CaFeMo2
_space_group_name_H-M_alt 'P 1 2/m 1'
_space_group_IT_number 10
_space_group_name_Hall '-P 2y'
_cell_length_a 2.6384
_cell_length_b 4.6832
_cell_length_c 5.2769
_cell_angle_alpha 90.00
_cell_angle_beta 100.77
_cell_angle_gamma 90.00
loop_
_atom_site_label
_atom_site_fract_x
_atom_site_fract_y
_atom_site_fract_z
_atom_site_occupancy
Ca1 0.0000 0.0000 0.0000 1
Fe1 0.5000 0.0000 0.5000 1
Mo1 0.2628 0.5000 0.7328 1
```

Summary:
Offset from the most stable computed form in eV/atom: 0.0728
Formation energy in eV per atom: 0.758

The following is a DFT calculation (SCAN) of Cd5In at its PBEsol-relaxed geometry.

```
data_Cd5In
_space_group_name_H-M_alt 'C m m m'
_space_group_IT_number 65
_space_group_name_Hall '-C 2 2'
_cell_length_a 4.3904
_cell_length_b 13.3010
_cell_length_c 4.4207
_cell_angle_alpha 90.00
_cell_angle_beta 90.00
_cell_angle_gamma 90.00
loop_
_atom_site_label
_atom_site_fract_x
_atom_site_fract_y
_atom_site_fract_z
_atom_site_occupancy
Cd1 0.0000 0.0000 0.0000 1
Cd2 0.0000 0.1700 0.5000 1
Cd3 0.0000 0.3309 0.0000 1
In1 0.0000 0.5000 0.5000 1
```

Summary:
Offset from the most stable computed form in eV/atom: 0.0000
Formation energy in eV per atom: 0.036

The following is a DFT calculation (SCAN) of HfCrSb2Te at its PBEsol-relaxed geometry.

```
data_HfCrSb2Te
_space_group_name_H-M_alt 'P 4/m m m'
_space_group_IT_number 123
_space_group_name_Hall '-P 4 2'
_cell_length_a 4.9122
_cell_length_b 4.9122
_cell_length_c 5.2090
_cell_angle_alpha 90.00
_cell_angle_beta 90.00
_cell_angle_gamma 90.00
loop_
_atom_site_label
_atom_site_fract_x
_atom_site_fract_y
_atom_site_fract_z
_atom_site_occupancy
Hf1 0.0000 0.0000 0.0000 1
Cr1 0.5000 0.5000 0.5000 1
Sb1 0.0000 0.5000 0.5000 1
Te1 0.5000 0.5000 0.0000 1
```

Summary:
E_form (uncorrected) in eV/atom: 0.61

Short version: magnetic moment = 0.5211, 0.0000, 0.6908 μB per atom, in the order given.
Short version: DOS at the Fermi energy = 3.69, 4.21, 4.02 states/eV per cell, in the order given.